1.
Density functional theory data (PBE) for a relaxed AgHgTe2 crystal.

Results
The space group is F-43m, No. 216. The calculation puts the theoretical density at 9013 kg/m3. The calculation puts the energy relative to the elements, uncorrected at 26.9 kJ/mol of atoms.

Cell lengths 5.2760, 5.2760, 5.2760 Å; angles 60.00, 60.00, 60.00 degrees
Last column: nearest neighbours and their distance in Å.
Atoms (fractional coordinates):
1 Ag 0.0000 0.0000 0.0000  4 Hg 3.23, 4 Te 3.23
2 Hg 0.2500 0.2500 0.2500  4 Te 3.23, 4 Ag 3.23
3 Te 0.5000 0.5000 0.5000  4 Hg 3.23, 4 Te 3.23
4 Te 0.7500 0.7500 0.7500  4 Te 3.23, 4 Ag 3.23



2.
Density functional theory data (PBE) for a relaxed CaAc6Se8 crystal.

Results
The space group is Fm-3m, No. 225. The calculation puts the theoretical density at 6817 kg/m3. The calculation puts the energy relative to the elements, uncorrected at -186.6 kJ/mol of atoms.

Cell lengths 8.8816, 8.8816, 8.8816 Å; angles 60.00, 60.00, 60.00 degrees
Last column: nearest neighbours and their distance in Å.
Atoms (fractional coordinates):
1 Ca 0.0000 0.0000 0.0000  6 Se 3.02
2 Ac 0.0000 0.0000 0.5000  6 Se 3.14
3 Ac 0.0000 0.5000 0.0000  6 Se 3.14
4 Ac 0.0000 0.5000 0.5000  6 Se 3.14
5 Ac 0.5000 0.0000 0.0000  6 Se 3.14
6 Ac 0.5000 0.0000 0.5000  6 Se 3.14
7 Ac 0.5000 0.5000 0.0000  6 Se 3.14
8 Se 0.2404 0.2404 0.7596  1 Ca 3.02, 4 Ac 3.14
9 Se 0.2404 0.7596 0.2404  1 Ca 3.02, 4 Ac 3.14
10 Se 0.2404 0.7596 0.7596  1 Ca 3.02, 4 Ac 3.14
11 Se 0.2500 0.2500 0.2500  6 Ac 3.14
12 Se 0.7500 0.7500 0.7500  6 Ac 3.14
13 Se 0.7596 0.2404 0.2404  1 Ca 3.02, 4 Ac 3.14
14 Se 0.7596 0.2404 0.7596  1 Ca 3.02, 4 Ac 3.14
15 Se 0.7596 0.7596 0.2404  1 Ca 3.02, 4 Ac 3.14



3.
Density functional theory data (PBE) for a relaxed Tm8Tl2Cd crystal.

Results
For the formation enthalpy at 0 K, the calculation gives -3.57 kJ/mol of atoms. The space group is C2/m, No. 12. The calculation puts the theoretical density at 9670 kg/m3. For the energy above the most stable polymorph in this dataset, the calculation gives 41 meV per atom.

Cell lengths 8.5508, 8.5508, 5.5002 Å; angles 102.17, 102.17, 118.61 degrees
Last column: nearest neighbours and their distance in Å.
Atoms (fractional coordinates):
1 Tm 0.1003 0.3300 0.6184  2 Tl 3.07-3.26, 3 Tm 3.36-3.43
2 Tm 0.2129 0.7871 0.0000  2 Tl 3.05, 1 Cd 3.13
3 Tm 0.3300 0.1003 0.6184  2 Tl 3.07-3.26, 3 Tm 3.36-3.43
4 Tm 0.3942 0.3942 0.1966  4 Tm 3.08-3.37, 1 Cd 3.15, 2 Tl 3.28
5 Tm 0.6058 0.6058 0.8034  4 Tm 3.08-3.37, 1 Cd 3.15, 2 Tl 3.28
6 Tm 0.6700 0.8997 0.3816  2 Tl 3.07-3.26, 3 Tm 3.36-3.43
7 Tm 0.7871 0.2129 0.0000  2 Tl 3.05, 1 Cd 3.13
8 Tm 0.8997 0.6700 0.3816  2 Tl 3.07-3.26, 3 Tm 3.36-3.43
9 Tl 0.3030 0.6970 0.5000  8 Tm 3.05-3.28
10 Tl 0.6970 0.3030 0.5000  8 Tm 3.05-3.28
11 Cd 0.0000 0.0000 0.0000  4 Tm 3.13-3.15



4.
Density functional theory data (PBE) for a relaxed Tb5DyEr2In crystal.

Results
For the formation enthalpy at 0 K, the calculation gives -0.22 kJ/mol of atoms. The space group is Cmc2_1, No. 36. The calculation puts the theoretical density at 8268 kg/m3.

Cell lengths 10.3723, 10.3723, 10.5215 Å; angles 90.00, 90.00, 150.06 degrees
Last column: nearest neighbours and their distance in Å.
Atoms (fractional coordinates):
1 Tb 0.9999 0.0001 0.0000  2 In 3.25-3.26, 2 Tb 3.53-3.54, 4 Er 3.57
2 Tb 0.0001 0.9999 0.5000  2 In 3.25-3.26, 2 Tb 3.53-3.54, 4 Er 3.57
3 Tb 0.1179 0.8821 0.7503  4 Er 3.47, 1 Dy 3.53, 6 Tb 3.53-3.74
4 Tb 0.2110 0.7890 0.0506  1 In 3.12, 2 Tb 3.28, 2 Dy 3.41, 3 Er 3.43-3.48
5 Tb 0.2105 0.7895 0.4502  1 In 3.12, 2 Tb 3.28, 2 Dy 3.41, 3 Er 3.42-3.48
6 Tb 0.4877 0.5123 0.7503  2 In 3.16, 2 Er 3.38
7 Tb 0.5123 0.4877 0.2503  2 In 3.16, 2 Er 3.38
8 Tb 0.7890 0.2110 0.5506  1 In 3.12, 2 Tb 3.28, 2 Dy 3.41, 3 Er 3.43-3.48
9 Tb 0.7895 0.2105 0.9502  1 In 3.12, 2 Tb 3.28, 2 Dy 3.41, 3 Er 3.42-3.48
10 Tb 0.8821 0.1179 0.2503  4 Er 3.47, 1 Dy 3.53, 6 Tb 3.53-3.74
11 Dy 0.2939 0.7061 0.7504  7 Tb 3.41-3.57, 2 In 3.48, 2 Er 3.56
12 Dy 0.7061 0.2939 0.2504  7 Tb 3.41-3.57, 2 In 3.48, 2 Er 3.56
13 Er 0.3843 0.6157 0.0414  9 Tb 3.38-3.70, 1 Dy 3.56
14 Er 0.3841 0.6159 0.4593  9 Tb 3.38-3.70, 1 Dy 3.56
15 Er 0.6157 0.3843 0.5414  9 Tb 3.38-3.70, 1 Dy 3.56
16 Er 0.6159 0.3841 0.9593  9 Tb 3.38-3.70, 1 Dy 3.56
17 In 0.0956 0.9044 0.2496  6 Tb 3.12-3.26, 2 Dy 3.48
18 In 0.9044 0.0956 0.7496  6 Tb 3.12-3.26, 2 Dy 3.48



5.
Density functional theory data (PBE) for a relaxed AcLa2YTl2 crystal.

Results
For the formation enthalpy at 0 K, the calculation gives -27.21 kJ/mol of atoms. The space group is Pmc2_1, No. 26. The calculation puts the theoretical density at 7973 kg/m3.

Cell lengths 4.9494, 9.7574, 8.6468 Å; angles 90.00, 90.00, 90.00 degrees
Last column: nearest neighbours and their distance in Å.
Atoms (fractional coordinates):
1 Ac 0.0000 0.0803 0.0000  5 Tl 3.47-3.63, 2 Y 3.86
2 Ac 0.0000 0.9197 0.5000  5 Tl 3.47-3.63, 2 Y 3.86
3 La 0.0000 0.3277 0.3829  4 Tl 3.17-3.29
4 La 0.0000 0.6723 0.8829  4 Tl 3.17-3.29
5 La 0.5000 0.4184 0.0529  5 Tl 3.57-3.72, 4 La 3.80-3.88, 1 Y 3.98
6 La 0.5000 0.5816 0.5529  5 Tl 3.57-3.72, 4 La 3.80-3.88, 1 Y 3.98
7 Y 0.5000 0.1857 0.6659  4 Tl 3.14-3.30
8 Y 0.5000 0.8143 0.1659  4 Tl 3.14-3.30
9 Tl 0.0000 0.3656 0.7611  2 Y 3.14, 2 La 3.17-3.29, 1 Ac 3.47
10 Tl 0.0000 0.6344 0.2611  2 Y 3.14, 2 La 3.17-3.29, 1 Ac 3.47
11 Tl 0.5000 0.1201 0.2916  2 Y 3.18-3.30, 2 La 3.29, 2 Ac 3.55
12 Tl 0.5000 0.8799 0.7916  2 Y 3.18-3.30, 2 La 3.29, 2 Ac 3.55



6.
Density functional theory data (PBE) for a relaxed RbPb2F4 crystal.

Results
The space group is Cmcm, No. 63. The calculation puts the theoretical density at 6463 kg/m3. The calculation puts the energy relative to the elements, uncorrected at -206.1 kJ/mol of atoms.

Cell lengths 7.2157, 7.2157, 12.5003 Å; angles 90.00, 90.00, 152.96 degrees
Last column: nearest neighbours and their distance in Å.
Atoms (fractional coordinates):
1 Rb 0.1021 0.8979 0.7500  6 F 2.80-2.84
2 Rb 0.8979 0.1021 0.2500  6 F 2.80-2.84
3 Pb 0.3636 0.6364 0.5729  4 F 2.44-2.71
4 Pb 0.3636 0.6364 0.9271  4 F 2.44-2.71
5 Pb 0.6364 0.3636 0.0729  4 F 2.44-2.71
6 Pb 0.6364 0.3636 0.4271  4 F 2.44-2.71
7 F 0.0000 0.0000 0.0000  4 Pb 2.71
8 F 0.0000 0.0000 0.5000  4 Pb 2.71
9 F 0.2963 0.7037 0.1072  1 Pb 2.44
10 F 0.2963 0.7037 0.3928  1 Pb 2.44
11 F 0.4425 0.5575 0.7500  2 Pb 2.47
12 F 0.5575 0.4425 0.2500  2 Pb 2.47
13 F 0.7037 0.2963 0.6072  1 Pb 2.44
14 F 0.7037 0.2963 0.8928  1 Pb 2.44



7.
Density functional theory data (PBE) for a relaxed Li3Ce2CrS6 crystal.

Results
The space group is C2/m, No. 12. The calculation puts the theoretical density at 3775 kg/m3. The calculation puts the energy relative to the elements, uncorrected at -139.1 kJ/mol of atoms.

Cell lengths 6.7243, 6.7243, 6.5068 Å; angles 99.58, 99.58, 120.13 degrees
Last column: nearest neighbours and their distance in Å.
Atoms (fractional coordinates):
1 Li 0.0000 0.0000 0.0000  6 S 2.66-2.86
2 Li 0.3487 0.6513 0.0000  4 S 2.57-2.62
3 Li 0.6513 0.3487 0.0000  4 S 2.57-2.62
4 Ce 0.1686 0.8314 0.5000  6 S 2.78
5 Ce 0.8314 0.1686 0.5000  6 S 2.78
6 Cr 0.5000 0.5000 0.5000  6 S 2.54-2.57
7 S 0.1107 0.4174 0.2502  1 Cr 2.57, 2 Li 2.62-2.66, 2 Ce 2.78
8 S 0.2708 0.2708 0.7411  1 Cr 2.54, 2 Li 2.57, 2 Ce 2.78
9 S 0.4174 0.1107 0.2502  1 Cr 2.57, 2 Li 2.62-2.66, 2 Ce 2.78
10 S 0.5826 0.8893 0.7498  1 Cr 2.57, 2 Li 2.62-2.66, 2 Ce 2.78
11 S 0.7292 0.7292 0.2589  1 Cr 2.54, 2 Li 2.57, 2 Ce 2.78
12 S 0.8893 0.5826 0.7498  1 Cr 2.57, 2 Li 2.62-2.66, 2 Ce 2.78



8.
Density functional theory data (PBE) for a relaxed TlV5Se8 crystal.

Results
The space group is C2/m, No. 12. The calculation puts the theoretical density at 6332 kg/m3. The calculation puts the energy relative to the elements, uncorrected at -66.4 kJ/mol of atoms.

Cell lengths 9.3016, 9.3016, 9.2538 Å; angles 102.74, 102.74, 21.51 degrees
Last column: nearest neighbours and their distance in Å.
Atoms (fractional coordinates):
1 Tl 0.0000 0.0000 0.0000  2 Tl 3.47, 10 Se 3.48-3.49
2 V 0.1447 0.1447 0.4953  5 Se 2.42-2.63
3 V 0.2065 0.2065 0.8308  6 Se 2.52-2.59
4 V 0.5000 0.5000 0.5000  6 Se 2.54-2.56
5 V 0.7935 0.7935 0.1692  6 Se 2.52-2.59
6 V 0.8553 0.8553 0.5047  5 Se 2.42-2.63
7 Se 0.0693 0.0693 0.6795  4 V 2.42-2.58
8 Se 0.2601 0.2601 0.3525  5 V 2.59-2.73
9 Se 0.3346 0.3346 0.0035  3 V 2.52-2.54
10 Se 0.4133 0.4133 0.6817  3 V 2.46-2.56
11 Se 0.5867 0.5867 0.3183  3 V 2.46-2.56
12 Se 0.6654 0.6654 0.9965  3 V 2.52-2.54
13 Se 0.7399 0.7399 0.6475  5 V 2.59-2.73
14 Se 0.9307 0.9307 0.3205  4 V 2.42-2.58



9.
Density functional theory data (PBE) for a relaxed Ac15TbPm4 crystal.

Results
For the formation enthalpy at 0 K, the calculation gives 2.73 kJ/mol of atoms. The space group is P4/mmm, No. 123. The calculation puts the theoretical density at 8182 kg/m3.

Cell lengths 5.5292, 5.5292, 27.5079 Å; angles 90.00, 90.00, 90.00 degrees
Last column: nearest neighbours and their distance in Å.
Atoms (fractional coordinates):
1 Ac 0.0000 0.0000 0.0000  8 Ac 3.89, 4 Tb 3.91
2 Ac 0.0000 0.0000 0.1995  8 Ac 3.90, 4 Pm 3.91
3 Ac 0.0000 0.0000 0.3999  8 Ac 3.90, 4 Pm 3.91
4 Ac 0.0000 0.0000 0.6001  8 Ac 3.90, 4 Pm 3.91
5 Ac 0.0000 0.0000 0.8005  8 Ac 3.90, 4 Pm 3.91
6 Ac 0.0000 0.5000 0.0993  2 Tb 3.89, 8 Ac 3.89-3.91, 2 Pm 3.90
7 Ac 0.0000 0.5000 0.2997  4 Pm 3.90-3.91, 8 Ac 3.90-3.91
8 Ac 0.0000 0.5000 0.5000  8 Ac 3.90-3.91, 4 Pm 3.90
9 Ac 0.0000 0.5000 0.7003  4 Pm 3.90-3.91, 8 Ac 3.90-3.91
10 Ac 0.0000 0.5000 0.9007  2 Tb 3.89, 8 Ac 3.89-3.91, 2 Pm 3.90
11 Ac 0.5000 0.0000 0.0993  2 Tb 3.89, 8 Ac 3.89-3.91, 2 Pm 3.90
12 Ac 0.5000 0.0000 0.2997  4 Pm 3.90-3.91, 8 Ac 3.90-3.91
13 Ac 0.5000 0.0000 0.5000  8 Ac 3.90-3.91, 4 Pm 3.90
14 Ac 0.5000 0.0000 0.7003  4 Pm 3.90-3.91, 8 Ac 3.90-3.91
15 Ac 0.5000 0.0000 0.9007  2 Tb 3.89, 8 Ac 3.89-3.91, 2 Pm 3.90
16 Tb 0.5000 0.5000 0.0000  12 Ac 3.89-3.91
17 Pm 0.5000 0.5000 0.1995  12 Ac 3.90-3.91
18 Pm 0.5000 0.5000 0.3999  12 Ac 3.90-3.91
19 Pm 0.5000 0.5000 0.6001  12 Ac 3.90-3.91
20 Pm 0.5000 0.5000 0.8005  12 Ac 3.90-3.91



10.
Density functional theory data (PBE) for a relaxed La6Pr2Nd3Mg crystal.

Results
For the formation enthalpy at 0 K, the calculation gives 0.73 kJ/mol of atoms. The space group is C2/m, No. 12. The calculation puts the theoretical density at 6178 kg/m3.

Cell lengths 6.3848, 6.3848, 12.1685 Å; angles 95.05, 95.05, 120.06 degrees
Last column: nearest neighbours and their distance in Å.
Atoms (fractional coordinates):
1 La 0.0818 0.4105 0.7483  6 La 3.63-3.71, 1 Mg 3.64, 2 Pr 3.66-3.67, 3 Nd 3.68-3.70
2 La 0.2463 0.2463 0.2510  6 La 3.63-3.71, 1 Mg 3.65, 2 Pr 3.67, 3 Nd 3.68-3.70
3 La 0.4105 0.0818 0.7483  6 La 3.63-3.71, 1 Mg 3.64, 2 Pr 3.66-3.67, 3 Nd 3.68-3.70
4 La 0.5895 0.9182 0.2517  6 La 3.63-3.71, 1 Mg 3.64, 2 Pr 3.66-3.67, 3 Nd 3.68-3.70
5 La 0.7537 0.7537 0.7490  6 La 3.63-3.71, 1 Mg 3.65, 2 Pr 3.67, 3 Nd 3.68-3.70
6 La 0.9182 0.5895 0.2517  6 La 3.63-3.71, 1 Mg 3.64, 2 Pr 3.66-3.67, 3 Nd 3.68-3.70
7 Pr 0.3327 0.6673 0.5000  6 La 3.66-3.67, 3 Pr 3.68-3.70, 3 Mg 3.68-3.69
8 Pr 0.6673 0.3327 0.5000  6 La 3.66-3.67, 3 Pr 3.68-3.70, 3 Mg 3.68-3.69
9 Nd 0.1673 0.8327 0.0000  6 Nd 3.68-3.70, 6 La 3.68-3.70
10 Nd 0.5000 0.5000 0.0000  6 Nd 3.68-3.69, 6 La 3.68-3.70
11 Nd 0.8327 0.1673 0.0000  6 Nd 3.68-3.70, 6 La 3.68-3.70
12 Mg 0.0000 0.0000 0.5000  6 La 3.64-3.65, 6 Pr 3.68-3.69



Looking at E_tot for the records above, in order, we have -2.080, -5.569, -3.802, -4.404, -4.475, -4.403, -5.775, -6.105, -4.235, -4.578 eV per atom.